Run i
Pm2PrGa | GGA-PBE | relaxed

- ρ (g/cm3) = 6.860

Unit cell a=6.8771 b=6.8771 c=7.0907 alpha=90.00 beta=90.00 gamma=133.72
Fractional coordinates of all 8 atoms:
Pm1 0.1390 0.8610 0.5250
Pm2 0.1390 0.8610 0.9750
Pm3 0.8610 0.1390 0.0250
Pm4 0.8610 0.1390 0.4750
Pr1 0.4398 0.5602 0.7500
Pr2 0.5602 0.4398 0.2500
Ga1 0.3211 0.6789 0.2500
Ga2 0.6789 0.3211 0.7500



Run ii
Pm2PrGa | GGA-PBE | relaxed

- ρ (g/cm3) = 6.918

Unit cell a=3.6159 b=3.6159 c=9.1902 alpha=90.00 beta=90.00 gamma=90.00
Fractional coordinates of all 4 atoms:
Pm1 0.0000 0.0000 0.2065
Pm2 0.0000 0.0000 0.7935
Pr1 0.5000 0.5000 0.5000
Ga1 0.5000 0.5000 0.0000



Which of them is least stable? Easy: run i.